1.
{"formula": "Mo3C", "functional": "PBE-GGA", "state": "optimized geometry", "lattice_angstrom": [[2.7093, 0.0000, 0.0000], [0.0000, 2.7093, 0.0000], [0.0000, 0.0000, 7.2555]], "species": ["Mo", "Mo", "Mo", "C"], "frac_coords": [[0.0000, 0.0000, 0.0000], [0.5000, 0.5000, 0.3212], [0.5000, 0.5000, 0.6788], [0.0000, 0.0000, 0.5000]], "de_polymorph_ev_per_fu": 1.57, "space_group": "P4/mmm, No. 123"}

=====

2.
{"formula": "Mo3C", "functional": "PBE-GGA", "state": "optimized geometry", "lattice_angstrom": [[-1.7383, 1.7383, 4.4899], [1.7383, -1.7383, 4.4899], [1.7383, 1.7383, -4.4899]], "species": ["Mo", "Mo", "Mo", "C"], "frac_coords": [[0.0000, 0.0000, 0.0000], [0.2500, 0.7500, 0.5000], [0.7500, 0.2500, 0.5000], [0.5000, 0.5000, 0.0000]], "de_polymorph_ev_per_fu": 3.61, "space_group": "I4/mmm, No. 139"}

=====

3.
{"formula": "Mo3C", "functional": "PBE-GGA", "state": "optimized geometry", "lattice_angstrom": [[4.2806, 0.0000, 0.0000], [0.0000, 4.8569, 0.0000], [0.0000, 0.0000, 5.7780]], "species": ["Mo", "Mo", "Mo", "Mo", "Mo", "Mo", "C", "C"], "frac_coords": [[0.2500, 0.0021, 0.1185], [0.2500, 0.2500, 0.5410], [0.2500, 0.4979, 0.1185], [0.7500, 0.5021, 0.8815], [0.7500, 0.7500, 0.4590], [0.7500, 0.9979, 0.8815], [0.2500, 0.7500, 0.4334], [0.7500, 0.2500, 0.5666]], "de_polymorph_ev_per_fu": 2.89, "space_group": "Pmmn, No. 59"}

=====

4.
{"formula": "MoC4", "functional": "PBE-GGA", "state": "optimized geometry", "lattice_angstrom": [[-2.5862, 2.5862, 1.6860], [2.5862, -2.5862, 1.6860], [2.5862, 2.5862, -1.6860]], "species": ["Mo", "C", "C", "C", "C"], "frac_coords": [[0.0000, 0.0000, 0.0000], [0.1014, 0.4016, 0.5030], [0.4016, 0.8986, 0.3001], [0.5984, 0.1014, 0.6999], [0.8986, 0.5984, 0.4970]], "de_polymorph_ev_per_fu": 7.72, "space_group": "I4/m, No. 87"}

=====

5.
{"formula": "Mo5C4", "functional": "PBE-GGA", "state": "optimized geometry", "lattice_angstrom": [[6.3575, 0.0000, 0.0000], [-3.1788, 5.5058, 0.0000], [0.0000, 0.0000, 5.6461]], "species": ["Mo", "Mo", "Mo", "Mo", "Mo", "Mo", "Mo", "Mo", "Mo", "Mo", "C", "C", "C", "C", "C", "C", "C", "C"], "frac_coords": [[0.0000, 0.2500, 0.2500], [0.0000, 0.7500, 0.7500], [0.2500, 0.0000, 0.2500], [0.2500, 0.2500, 0.7500], [0.3333, 0.6667, 0.0000], [0.3333, 0.6667, 0.5000], [0.6667, 0.3333, 0.0000], [0.6667, 0.3333, 0.5000], [0.7500, 0.0000, 0.7500], [0.7500, 0.7500, 0.2500], [0.0000, 0.0000, 0.0000], [0.0000, 0.0000, 0.5000], [0.0000, 0.4111, 0.7500], [0.0000, 0.5889, 0.2500], [0.4111, 0.0000, 0.7500], [0.4111, 0.4111, 0.2500], [0.5889, 0.0000, 0.2500], [0.5889, 0.5889, 0.7500]], "de_polymorph_ev_per_fu": 0.00, "space_group": "P6_3/mcm, No. 193"}

=====

6.
{"formula": "Mo5C", "functional": "PBE-GGA", "state": "optimized geometry", "lattice_angstrom": [[4.8782, 0.0000, 0.0000], [-2.4391, 4.2247, 0.0000], [0.0000, 0.0000, 4.2190]], "species": ["Mo", "Mo", "Mo", "Mo", "Mo", "C"], "frac_coords": [[0.0000, 0.6862, 0.0000], [0.3138, 0.3138, 0.0000], [0.3333, 0.6667, 0.5000], [0.6667, 0.3333, 0.5000], [0.6862, 0.0000, 0.0000], [0.0000, 0.0000, 0.5000]], "de_polymorph_ev_per_fu": 3.05, "space_group": "P-62m, No. 189"}

=====

7.
{"formula": "Mo7C5", "functional": "PBE-GGA", "state": "optimized geometry", "lattice_angstrom": [[-3.6962, 3.6962, 2.9992], [3.6962, -3.6962, 2.9992], [3.6962, 3.6962, -2.9992]], "species": ["Mo", "Mo", "Mo", "Mo", "Mo", "Mo", "Mo", "C", "C", "C", "C", "C"], "frac_coords": [[0.0000, 0.0000, 0.0000], [0.3308, 0.8308, 0.5000], [0.3323, 0.5694, 0.7629], [0.5694, 0.3323, 0.7629], [0.5694, 0.8065, 0.2371], [0.8065, 0.5694, 0.2371], [0.8308, 0.3308, 0.5000], [0.0511, 0.0511, 0.4000], [0.0511, 0.6512, 0.0000], [0.3353, 0.3353, 0.0000], [0.6512, 0.0511, 0.0000], [0.6512, 0.6512, 0.6000]], "space_group": "I4mm, No. 107"}

=====

8.
{"formula": "Mo5C", "functional": "PBE-GGA", "state": "optimized geometry", "lattice_angstrom": [[2.6888, 0.0000, 0.0000], [0.0000, 2.6888, 0.0000], [0.0000, 0.0000, 11.9062]], "species": ["Mo", "Mo", "Mo", "Mo", "Mo", "C"], "frac_coords": [[0.0000, 0.0000, 0.0000], [0.0000, 0.0000, 0.3909], [0.0000, 0.0000, 0.6091], [0.5000, 0.5000, 0.1942], [0.5000, 0.5000, 0.8058], [0.5000, 0.5000, 0.5000]], "de_polymorph_ev_per_fu": 0.26, "space_group": "P4/mmm, No. 123"}

=====

9.
{"formula": "MoC3", "functional": "PBE-GGA", "state": "optimized geometry", "lattice_angstrom": [[-1.3654, 1.3654, 12.3670], [1.3654, -1.3654, 12.3670], [1.3654, 1.3654, -12.3670]], "species": ["Mo", "Mo", "C", "C", "C", "C", "C", "C"], "frac_coords": [[0.1794, 0.1794, 0.0000], [0.8206, 0.8206, 0.0000], [0.0000, 0.5000, 0.5000], [0.2500, 0.7500, 0.5000], [0.3539, 0.3539, 0.0000], [0.5000, 0.0000, 0.5000], [0.6461, 0.6461, 0.0000], [0.7500, 0.2500, 0.5000]], "de_polymorph_ev_per_fu": 4.38, "space_group": "I4/mmm, No. 139"}

=====

10.
{"formula": "MoC3", "functional": "PBE-GGA", "state": "optimized geometry", "lattice_angstrom": [[3.6730, -1.3451, 0.0000], [3.6730, 1.3451, 0.0000], [-1.8976, 0.0000, 3.6590]], "species": ["Mo", "C", "C", "C"], "frac_coords": [[0.0000, 0.0000, 0.0000], [0.3112, 0.3112, 0.5135], [0.5000, 0.5000, 0.5000], [0.6888, 0.6888, 0.4865]], "de_polymorph_ev_per_fu": 1.73, "space_group": "C2/m, No. 12"}

=====

11.
{"formula": "MoC3", "functional": "PBE-GGA", "state": "optimized geometry", "lattice_angstrom": [[1.7690, -5.1294, 0.0000], [1.7690, 5.1294, 0.0000], [0.0000, 0.0000, 4.0840]], "species": ["Mo", "Mo", "C", "C", "C", "C", "C", "C"], "frac_coords": [[0.0905, 0.9095, 0.7500], [0.9095, 0.0905, 0.2500], [0.1955, 0.8045, 0.2500], [0.2065, 0.3968, 0.7500], [0.3968, 0.2065, 0.2500], [0.6032, 0.7935, 0.7500], [0.7935, 0.6032, 0.2500], [0.8045, 0.1955, 0.7500]], "de_polymorph_ev_per_fu": 1.03, "space_group": "Cmcm, No. 63"}

=====

12.
{"formula": "Mo3C", "functional": "PBE-GGA", "state": "optimized geometry", "lattice_angstrom": [[2.5929, -3.3576, 0.0000], [2.5929, 3.3576, 0.0000], [0.0000, 0.0000, 3.1188]], "species": ["Mo", "Mo", "Mo", "C"], "frac_coords": [[0.0000, 0.0000, 0.0000], [0.0000, 0.5000, 0.5000], [0.5000, 0.0000, 0.5000], [0.5000, 0.5000, 0.0000]], "de_polymorph_ev_per_fu": 3.84, "space_group": "Cmmm, No. 65"}

=====

13.
{"formula": "MoC3", "functional": "PBE-GGA", "state": "optimized geometry", "lattice_angstrom": [[2.8537, 0.0000, 0.0000], [0.0000, 2.8537, 0.0000], [0.0000, 0.0000, 4.1134]], "species": ["Mo", "C", "C", "C"], "frac_coords": [[0.0000, 0.0000, 0.0000], [0.0000, 0.0000, 0.5000], [0.5000, 0.5000, 0.3160], [0.5000, 0.5000, 0.6840]], "de_polymorph_ev_per_fu": 4.13, "space_group": "P4/mmm, No. 123"}

=====

14.
{"formula": "Mo5C", "functional": "PBE-GGA", "state": "optimized geometry", "lattice_angstrom": [[0.0000, 3.6343, 3.6343], [3.6343, 0.0000, 3.6343], [3.6343, 3.6343, 0.0000]], "species": ["Mo", "Mo", "Mo", "Mo", "Mo", "C"], "frac_coords": [[0.0000, 0.0000, 0.0000], [0.1269, 0.6244, 0.6244], [0.6244, 0.1269, 0.6244], [0.6244, 0.6244, 0.1269], [0.6244, 0.6244, 0.6244], [0.2500, 0.2500, 0.2500]], "de_polymorph_ev_per_fu": 6.15, "space_group": "F-43m, No. 216"}

=====

15.
{"formula": "Mo3C", "functional": "PBE-GGA", "state": "optimized geometry", "lattice_angstrom": [[5.5909, 0.0000, 0.0000], [0.0000, 7.4749, 0.0000], [0.0000, 0.0000, 4.9870]], "species": ["Mo", "Mo", "Mo", "Mo", "Mo", "Mo", "Mo", "Mo", "Mo", "Mo", "Mo", "Mo", "C", "C", "C", "C"], "frac_coords": [[0.0352, 0.2500, 0.1672], [0.1799, 0.0678, 0.6667], [0.1799, 0.4322, 0.6667], [0.3201, 0.5678, 0.1667], [0.3201, 0.9322, 0.1667], [0.4648, 0.7500, 0.6672], [0.5352, 0.2500, 0.3328], [0.6799, 0.0678, 0.8333], [0.6799, 0.4322, 0.8333], [0.8201, 0.5678, 0.3333], [0.8201, 0.9322, 0.3333], [0.9648, 0.7500, 0.8328], [0.1241, 0.7500, 0.4353], [0.3759, 0.2500, 0.9353], [0.6241, 0.7500, 0.0647], [0.8759, 0.2500, 0.5647]], "de_polymorph_ev_per_fu": 0.00, "space_group": "Pnma, No. 62"}

=====

16.
{"formula": "MoC4", "functional": "PBE-GGA", "state": "optimized geometry", "lattice_angstrom": [[2.7339, 0.0000, 0.0000], [-1.3670, 2.3676, 0.0000], [0.0000, 0.0000, 6.4017]], "species": ["Mo", "C", "C", "C", "C"], "frac_coords": [[0.0000, 0.0000, 0.0000], [0.3333, 0.6667, 0.2291], [0.3333, 0.6667, 0.4568], [0.6667, 0.3333, 0.5432], [0.6667, 0.3333, 0.7709]], "de_polymorph_ev_per_fu": 0.00, "space_group": "P-3m1, No. 164"}

=====

17.
{"formula": "Mo5C", "functional": "PBE-GGA", "state": "optimized geometry", "lattice_angstrom": [[4.9364, 0.0000, 0.0000], [-2.4682, 4.2750, 0.0000], [0.0000, 0.0000, 4.8345]], "species": ["Mo", "Mo", "Mo", "Mo", "Mo", "C"], "frac_coords": [[0.0000, 0.5000, 0.0000], [0.3333, 0.6667, 0.5000], [0.5000, 0.0000, 0.0000], [0.5000, 0.5000, 0.0000], [0.6667, 0.3333, 0.5000], [0.0000, 0.0000, 0.5000]], "de_polymorph_ev_per_fu": 7.26, "space_group": "P6/mmm, No. 191"}

=====

18.
{"formula": "Mo3C", "functional": "PBE-GGA", "state": "optimized geometry", "lattice_angstrom": [[5.2032, 0.0000, 0.0000], [-2.6016, 4.5061, 0.0000], [0.0000, 0.0000, 4.5469]], "species": ["Mo", "Mo", "Mo", "Mo", "Mo", "Mo", "C", "C"], "frac_coords": [[0.1686, 0.3373, 0.2500], [0.1686, 0.8314, 0.2500], [0.3373, 0.1686, 0.7500], [0.6627, 0.8314, 0.2500], [0.8314, 0.1686, 0.7500], [0.8314, 0.6627, 0.7500], [0.3333, 0.6667, 0.7500], [0.6667, 0.3333, 0.2500]], "de_polymorph_ev_per_fu": 3.47, "space_group": "P6_3/mmc, No. 194"}

=====

19.
{"formula": "Mo3C", "functional": "PBE-GGA", "state": "optimized geometry", "lattice_angstrom": [[2.8532, 0.0000, 0.0000], [-1.4266, 2.4709, 0.0000], [0.0000, 0.0000, 7.6909]], "species": ["Mo", "Mo", "Mo", "C"], "frac_coords": [[0.0000, 0.0000, 0.0000], [0.6667, 0.3333, 0.3154], [0.6667, 0.3333, 0.6846], [0.0000, 0.0000, 0.5000]], "de_polymorph_ev_per_fu": 0.74, "space_group": "P-6m2, No. 187"}

=====

20.
{"formula": "MoC4", "functional": "PBE-GGA", "state": "optimized geometry", "lattice_angstrom": [[-2.4019, 2.4019, 2.4019], [2.4019, -2.4019, 2.4019], [2.4019, 2.4019, -2.4019]], "species": ["Mo", "C", "C", "C", "C"], "frac_coords": [[0.0000, 0.0000, 0.0000], [0.0000, 0.0000, 0.5000], [0.0000, 0.5000, 0.0000], [0.5000, 0.0000, 0.0000], [0.5000, 0.5000, 0.5000]], "de_polymorph_ev_per_fu": 9.63, "space_group": "Im-3m, No. 229"}

=====

21.
{"formula": "Mo3C", "functional": "PBE-GGA", "state": "optimized geometry", "lattice_angstrom": [[1.5041, 0.8684, 6.9368], [-1.5041, 0.8684, 6.9368], [0.0000, -1.7368, 6.9368]], "species": ["Mo", "Mo", "Mo", "C"], "frac_coords": [[0.0000, 0.0000, 0.0000], [0.2249, 0.2249, 0.2249], [0.7751, 0.7751, 0.7751], [0.5000, 0.5000, 0.5000]], "de_polymorph_ev_per_fu": 0.18, "space_group": "R-3m, No. 166"}

=====

22.
{"formula": "Mo6C7", "functional": "PBE-GGA", "state": "optimized geometry", "lattice_angstrom": [[2.1873, 1.2628, 8.2411], [-2.1873, 1.2628, 8.2411], [0.0000, -2.5256, 8.2411]], "species": ["Mo", "Mo", "Mo", "Mo", "Mo", "Mo", "C", "C", "C", "C", "C", "C", "C"], "frac_coords": [[0.0768, 0.0768, 0.0768], [0.1976, 0.1976, 0.1976], [0.3163, 0.3163, 0.3163], [0.6837, 0.6837, 0.6837], [0.8024, 0.8024, 0.8024], [0.9232, 0.9232, 0.9232], [0.1674, 0.5285, 0.5285], [0.4715, 0.4715, 0.8326], [0.4715, 0.8326, 0.4715], [0.5000, 0.5000, 0.5000], [0.5285, 0.1674, 0.5285], [0.5285, 0.5285, 0.1674], [0.8326, 0.4715, 0.4715]], "space_group": "R-3m, No. 166"}

=====

23.
{"formula": "MoC3", "functional": "PBE-GGA", "state": "optimized geometry", "lattice_angstrom": [[-1.2744, 2.0503, 3.0980], [1.2744, -2.0503, 3.0980], [1.2744, 2.0503, -3.0980]], "species": ["Mo", "C", "C", "C"], "frac_coords": [[0.0000, 0.0000, 0.0000], [0.3224, 0.8224, 0.5000], [0.5000, 0.5000, 0.0000], [0.6776, 0.1776, 0.5000]], "de_polymorph_ev_per_fu": 3.85, "space_group": "Immm, No. 71"}

=====

24.
{"formula": "MoC3", "functional": "PBE-GGA", "state": "optimized geometry", "lattice_angstrom": [[2.1263, -2.9281, 0.0000], [2.1263, 2.9281, 0.0000], [0.0000, 0.0000, 2.8048]], "species": ["Mo", "C", "C", "C"], "frac_coords": [[0.0000, 0.0000, 0.0000], [0.0000, 0.5000, 0.5000], [0.5000, 0.0000, 0.5000], [0.5000, 0.5000, 0.0000]], "de_polymorph_ev_per_fu": 6.10, "space_group": "Cmmm, No. 65"}

=====

25.
{"formula": "Mo5C2", "functional": "PBE-GGA", "state": "optimized geometry", "lattice_angstrom": [[6.5451, -2.6072, 0.0000], [6.5451, 2.6072, 0.0000], [-1.3982, 0.0000, 5.3990]], "species": ["Mo", "Mo", "Mo", "Mo", "Mo", "Mo", "Mo", "Mo", "Mo", "Mo", "C", "C", "C", "C"], "frac_coords": [[0.0785, 0.9215, 0.7500], [0.1085, 0.2877, 0.6515], [0.2877, 0.1085, 0.1515], [0.3119, 0.4944, 0.0658], [0.4944, 0.3119, 0.5658], [0.5056, 0.6881, 0.4342], [0.6881, 0.5056, 0.9342], [0.7123, 0.8915, 0.8485], [0.8915, 0.7123, 0.3485], [0.9215, 0.0785, 0.2500], [0.1043, 0.5983, 0.7072], [0.4017, 0.8957, 0.7928], [0.5983, 0.1043, 0.2072], [0.8957, 0.4017, 0.2928]], "space_group": "C2/c, No. 15"}

=====

26.
{"formula": "Mo5C", "functional": "PBE-GGA", "state": "optimized geometry", "lattice_angstrom": [[1.5483, -6.0210, 0.0000], [1.5483, 6.0210, 0.0000], [0.0000, 0.0000, 4.7205]], "species": ["Mo", "Mo", "Mo", "Mo", "Mo", "C"], "frac_coords": [[0.0000, 0.0000, 0.0000], [0.1279, 0.8721, 0.5000], [0.3330, 0.6670, 0.0000], [0.6670, 0.3330, 0.0000], [0.8721, 0.1279, 0.5000], [0.5000, 0.5000, 0.5000]], "de_polymorph_ev_per_fu": 0.64, "space_group": "Cmmm, No. 65"}

=====

| no. | energy of formation from the pure elements (meV per atom) |
| --- | --- |
| 1 | 427 |
| 2 | 935 |
| 3 | 757 |
| 4 | 2249 |
| 5 | 281 |
| 6 | 875 |
| 7 | 1147 |
| 8 | 411 |
| 9 | 1826 |
| 10 | 1163 |
| 11 | 990 |
| 12 | 993 |
| 13 | 1763 |
| 14 | 1393 |
| 15 | 34 |
| 16 | 705 |
| 17 | 1578 |
| 18 | 902 |
| 19 | 218 |
| 20 | 2632 |
| 21 | 79 |
| 22 | 879 |
| 23 | 1694 |
| 24 | 2256 |
| 25 | -68 |
| 26 | 474 |